1.
ZrCuAs2: relaxed, PBE.

Structure (CIF):
```
data_ZrCuAs2
_cell_length_a 6.921
_cell_length_b 6.921
_cell_length_c 6.134
_cell_angle_alpha 90.00
_cell_angle_beta 90.00
_cell_angle_gamma 90.00
_symmetry_space_group_name_H-M 'I -4 2 d'
_symmetry_Int_Tables_number 122
_symmetry_space_group_name_Hall 'I -4 2bw'
loop_
_atom_site_label
_atom_site_type_symbol
_atom_site_fract_x
_atom_site_fract_y
_atom_site_fract_z
_atom_site_occupancy
Zr1 Zr 0.000 0.000 0.000 1
Cu1 Cu 0.000 0.000 0.500 1
As1 As 0.209 0.250 0.625 1
```

The total energy comes out at -5.788 eV/atom. The calculation puts the calculated formation energy at -0.302 eV per atom. For the density, the calculation gives 6.89 g/cm³. As for the crystal system: tetragonal.

***

2.
Pm2Cd3Au4: relaxed, PBE.

Structure (CIF):
```
data_Pm2Cd3Au4
_cell_length_a 4.874
_cell_length_b 4.888
_cell_length_c 9.832
_cell_angle_alpha 89.42
_cell_angle_beta 89.89
_cell_angle_gamma 60.14
_symmetry_space_group_name_H-M 'P -1'
_symmetry_Int_Tables_number 2
loop_
_symmetry_equiv_pos_as_xyz
'x,y,z'
'-x,-y,-z'
loop_
_atom_site_label
_atom_site_type_symbol
_atom_site_fract_x
_atom_site_fract_y
_atom_site_fract_z
_atom_site_occupancy
Pm1 Pm 0.167 0.164 0.221 1
Cd1 Cd 0.165 0.171 0.579 1
Cd2 Cd 0.500 0.500 0.000 1
Au1 Au 0.166 0.167 0.910 1
Au2 Au 0.498 0.506 0.644 1
```

The total energy comes out at -3.369 eV/atom. The calculation puts the calculated formation energy at -0.551 eV per atom. For the density, the calculation gives 11.57 g/cm³. The relative energy among the computed polymorphs is 0 meV/atom. As for the crystal system: triclinic.

***

3.
Ce2Pr3ErS6: relaxed, PBE.

Structure (CIF):
```
data_Ce2Pr3ErS6
_cell_length_a 6.986
_cell_length_b 12.113
_cell_length_c 7.013
_cell_angle_alpha 90.00
_cell_angle_beta 109.51
_cell_angle_gamma 90.00
_symmetry_space_group_name_H-M 'C 1 2/m 1'
_symmetry_Int_Tables_number 12
loop_
_symmetry_equiv_pos_as_xyz
'x,y,z'
'-x,-y,-z'
'-x,y,-z'
'x,-y,z'
'x+1/2,y+1/2,z'
'-x+1/2,-y+1/2,-z'
'-x+1/2,y+1/2,-z'
'x+1/2,-y+1/2,z'
loop_
_atom_site_label
_atom_site_type_symbol
_atom_site_fract_x
_atom_site_fract_y
_atom_site_fract_z
_atom_site_occupancy
Ce1 Ce 0.000 0.166 0.000 1
Pr1 Pr 0.000 0.000 0.500 1
Pr2 Pr 0.000 0.332 0.500 1
Er1 Er 0.000 0.500 0.000 1
S1 S 0.242 0.337 0.237 1
S2 S 0.245 0.500 0.760 1
```

The total energy comes out at -6.649 eV/atom. For the density, the calculation gives 6.31 g/cm³. As for the crystal system: monoclinic. The calculation puts the energy relative to the elements, uncorrected at -24.25 eV per formula unit.

***

4.
NdEr12Tm7: relaxed, PBE.

Structure (CIF):
```
data_NdEr12Tm7
_cell_length_a 11.8570
_cell_length_b 11.8570
_cell_length_c 15.7034
_cell_angle_alpha 90.00
_cell_angle_beta 90.00
_cell_angle_gamma 120.00
_symmetry_space_group_name_H-M 'R -3'
_symmetry_Int_Tables_number 148
_symmetry_space_group_name_Hall '-R 3'
loop_
_atom_site_label
_atom_site_type_symbol
_atom_site_fract_x
_atom_site_fract_y
_atom_site_fract_z
_atom_site_occupancy
Nd1 Nd 0.0000 0.0000 0.0000 1
Er1 Er 0.0217 0.4506 0.2180 1
Er2 Er 0.0517 0.1895 0.2942 1
Tm1 Tm 0.0000 0.0000 0.5000 1
Tm2 Tm 0.0475 0.5862 0.5836 1
```

The total energy comes out at -4.298 eV/atom. The calculation puts the calculated formation energy at 0.243 eV per atom. For the density, the calculation gives 8.69 g/cm³. The relative energy among the computed polymorphs is 0 meV/atom. As for the crystal system: trigonal.

***

- total energy of number 4 (NdEr12Tm7)?
  -4.298 eV/atom

***

- total energy of number 1 (ZrCuAs2)?
  -5.788 eV/atom

***

- total energy of number 1 (ZrCuAs2)?
  -5.788 eV/atom